Computed, not measured: a relaxed structure of LaSiAgI2 at the PBE-GGA level of DFT.

Structure (CIF):
```
data_LaSiAgI2
_symmetry_space_group_name_H-M 'P 1'
_symmetry_Int_Tables_number 1
_symmetry_space_group_name_Hall 'P 1'
_cell_length_a 5.598
_cell_length_b 5.022
_cell_length_c 5.598
_cell_angle_alpha 90.00
_cell_angle_beta 90.00
_cell_angle_gamma 90.00
loop_
_atom_site_label
_atom_site_type_symbol
_atom_site_fract_x
_atom_site_fract_y
_atom_site_fract_z
I1 I 0.000 0.000 0.500
I2 I 0.500 0.000 0.000
Si1 Si 0.000 0.500 0.000
Ag1 Ag 0.000 0.000 0.000
La1 La 0.500 0.500 0.500
```

Calculated values
- E above lowest polymorph (meV per atom) = 0
- size of the total moment (μB/cell) = 0.00
- SG = P4/mmm
- calculated volume (Å³/atom) = 31.47
- DOS at the Fermi energy (states/eV per cell) = 5.6